## KPd2Pb5 (GGA-PBE)

Data for a relaxed KPd2Pb5 crystal.

Output
density of states at the Fermi level: 4.05 states/eV per cell
calculated density: 9.12 g/cm3
energy of formation: -0.17 eV/atom
M_tot: 0.000 μB per atom
total DFT energy (no corrections): -31.37 eV/cell

Lattice parameters (Å, degrees): 4.6662 7.7760 7.7760 62.55 72.54 72.54
Sites, in units of the cell vectors:
Pb: 0.3471 0.4459 0.8598
Pb: 0.3471 0.8598 0.4459
Pb: 0.0000 0.5000 0.5000
K: 0.0000 0.0000 0.0000
Pd: 0.2242 0.2758 0.2758
Pb: 0.6529 0.1402 0.5541
Pd: 0.7758 0.7242 0.7242
Pb: 0.6529 0.5541 0.1402

---

## K2Pd7Pb12 (GGA-PBE)

Data for a relaxed K2Pd7Pb12 crystal.

Output
density of states at the Fermi level: 12.85 states/eV per cell
calculated density: 10.08 g/cm3
energy of formation: -0.19 eV/atom
M_tot: 0.000 μB per atom
total DFT energy (no corrections): -87.06 eV/cell

Lattice parameters (Å, degrees): 4.5940 11.7076 11.7076 120.00 90.00 90.00
Sites, in units of the cell vectors:
Pb: 0.0000 0.7812 0.7486
Pd: 0.0000 0.2329 0.2673
Pd: 0.5000 0.9371 0.3679
Pb: 0.0000 0.9674 0.2188
K: 0.5000 0.0000 0.0000
Pd: 0.0000 0.3333 0.6667
Pb: 0.5000 0.5527 0.7708
Pb: 0.5000 0.2181 0.4473
Pd: 0.0000 0.7327 0.9656
Pb: 0.5000 0.8873 0.6036
Pb: 0.0000 0.4797 0.9491
Pb: 0.5000 0.2292 0.7819
Pd: 0.5000 0.6321 0.5693
Pb: 0.5000 0.3964 0.2837
Pb: 0.5000 0.7163 0.1127
Pd: 0.5000 0.4307 0.0629
Pb: 0.0000 0.0509 0.5306
Pb: 0.0000 0.2514 0.0326
Pd: 0.0000 0.0344 0.7671
K: 0.0000 0.6667 0.3333
Pb: 0.0000 0.4694 0.5203

---

## KPd4Pb2 (GGA-PBE)

Data for a relaxed KPd4Pb2 crystal.

Output
density of states at the Fermi level: 6.85 states/eV per cell
excess energy over the best structure of this formula in the dataset: 0 meV per atom
calculated density: 9.42 g/cm3
energy of formation: -0.25 eV/atom
M_tot: 0.000 μB per atom
total DFT energy (no corrections): -62.09 eV/cell

Lattice parameters (Å, degrees): 7.3851 7.3851 7.3851 108.91 109.75 109.75
Sites, in units of the cell vectors:
Pb: 0.5000 0.3473 0.1527
K: 0.0000 0.2500 0.2500
Pd: 0.5000 0.3090 0.5200
Pd: 0.2110 0.1910 0.6910
Pb: 0.1947 0.8473 0.3473
Pb: 0.8053 0.1527 0.6527
Pd: 0.5000 0.6910 0.4800
Pd: 0.7890 0.8090 0.3090
Pd: 0.2110 0.5200 0.0200
K: 0.0000 0.7500 0.7500
Pd: 0.5000 0.9800 0.1910
Pd: 0.7890 0.4800 0.9800
Pd: 0.5000 0.0200 0.8090
Pb: 0.5000 0.6527 0.8473

---

## K2Pd3Pb4 (GGA-PBE)

Data for a relaxed K2Pd3Pb4 crystal.

Output
density of states at the Fermi level: 2.39 states/eV per cell
calculated density: 8.55 g/cm3
energy of formation: -0.23 eV/atom
M_tot: 0.000 μB per atom
total DFT energy (no corrections): -34.66 eV/cell

Lattice parameters (Å, degrees): 6.2492 6.2492 7.8155 100.74 100.74 122.27
Sites, in units of the cell vectors:
Pd: 0.0000 0.5000 0.0000
Pb: 0.0125 0.6792 0.6917
Pd: 0.0000 0.0000 0.0000
Pb: 0.9875 0.3208 0.3083
Pb: 0.6792 0.0125 0.6917
Pb: 0.3208 0.9875 0.3083
K: 0.6179 0.6179 0.2358
K: 0.3821 0.3821 0.7642
Pd: 0.5000 0.0000 0.0000

---

## KPdPb (GGA-PBE)

Data for a relaxed KPdPb crystal.

Output
density of states at the Fermi level: 1.75 states/eV per cell
calculated density: 6.97 g/cm3
energy of formation: -0.17 eV/atom
M_tot: 0.000 μB per atom
total DFT energy (no corrections): -10.51 eV/cell

Lattice parameters (Å, degrees): 3.6401 3.6401 6.8483 105.41 105.41 90.00
Sites, in units of the cell vectors:
K: 0.0079 0.0079 0.0157
Pb: 0.2932 0.2932 0.5864
Pd: 0.6989 0.6989 0.3979

---

## KPd2Pb3 (GGA-PBE)

Data for a relaxed KPd2Pb3 crystal.

Output
density of states at the Fermi level: 5.74 states/eV per cell
excess energy over the best structure of this formula in the dataset: 113 meV per atom
calculated density: 8.64 g/cm3
energy of formation: -0.09 eV/atom
M_tot: 0.000 μB per atom
total DFT energy (no corrections): -46.31 eV/cell

Lattice parameters (Å, degrees): 7.6425 7.6425 7.9697 61.35 61.35 60.00
Sites, in units of the cell vectors:
Pd: 0.0000 0.5000 0.0000
Pb: 0.7364 0.7364 0.2622
Pd: 0.5000 0.0000 0.0000
Pb: 0.2636 0.7351 0.7378
Pb: 0.2636 0.2636 0.7378
K: 0.7789 0.7789 0.6632
Pd: 0.5000 0.5000 0.0000
Pb: 0.2649 0.7364 0.2622
Pb: 0.7364 0.2649 0.2622
K: 0.2211 0.2211 0.3368
Pb: 0.7351 0.2636 0.7378
Pd: 0.0000 0.0000 0.0000

---

Q: Which value of calculated density does entry 3 give?
A: 9.42 g/cm3

---

Q: Which value of density of states at the Fermi level does entry 4 give?
A: 2.39 states/eV per cell

---

Q: The highest calculated density belongs to which entry?
A: K2Pd7Pb12